# 1
A geometry-optimized SmErTmHg structure. Source: Alexandria, functional GGA-PBE.

Structure (extended XYZ):
```
4
Lattice="0.0000 3.8212 3.8212 3.8212 0.0000 3.8212 3.8212 3.8212 0.0000" Properties=species:S:1:pos:R:3 pbc="T T T"
Sm 0.0000 0.0000 0.0000
Er 3.8212 3.8212 3.8212
Tm 5.7318 5.7318 5.7318
Hg 1.9106 1.9106 1.9106
```

As for the formation energy: -0.06 eV/atom. The volume comes out at 112 Å³ per cell. The density of states at the Fermi level comes out at 5.16 states/eV/cell.



# 2
A geometry-optimized TaTe2I2 structure. Source: Alexandria, functional GGA-PBE.

Structure (extended XYZ):
```
10
Lattice="3.6608 -6.3532 0.0000 3.6608 6.3532 0.0000 -3.4968 0.0000 7.9423" Properties=species:S:1:pos:R:3 pbc="T T T"
Ta 3.6608 4.8054 0.0000
Ta 3.6608 -4.8054 0.0000
Te -0.0566 0.0000 2.4098
Te 2.1880 0.0000 0.9239
Te 1.6369 0.0000 7.0185
Te 3.8815 0.0000 5.5326
I 2.4414 -3.6581 6.2921
I 1.3835 3.6581 1.6503
I 2.4414 3.6581 6.2921
I 1.3835 -3.6581 1.6503
```

For the uncorrected formation energy, the calculation gives -0.30 eV per atom. The volume comes out at 369 Å³ per cell. As for the energy above the lowest structure with this stoichiometry: 0.000 kcal/mol of atoms.



# 3
A geometry-optimized Ho2MnGa8 structure. Source: Alexandria, functional GGA-PBE.

Structure (extended XYZ):
```
11
Lattice="4.2330 0.0000 0.0000 0.0000 4.2330 0.0000 0.0000 0.0000 11.2972" Properties=species:S:1:pos:R:3 pbc="T T T"
Ho 0.0000 0.0000 2.1572
Ho 0.0000 0.0000 9.1400
Mn 0.0000 0.0000 5.6486
Ga 0.0000 2.1165 0.0000
Ga 0.0000 2.1165 4.2802
Ga 0.0000 2.1165 7.0169
Ga 2.1165 0.0000 0.0000
Ga 2.1165 0.0000 4.2802
Ga 2.1165 0.0000 7.0169
Ga 2.1165 2.1165 2.1553
Ga 2.1165 2.1165 9.1418
```

As for the formation energy: -0.41 eV/atom. The volume comes out at 202 Å³ per cell. The density of states at the Fermi level comes out at 4.32 states/eV/cell.



# 4
A geometry-optimized AgAs3O structure. Source: Alexandria, functional GGA-PBE.

Structure (extended XYZ):
```
5
Lattice="5.0028 0.0000 0.0000 0.0000 5.0028 0.0000 0.0000 0.0000 5.0028" Properties=species:S:1:pos:R:3 pbc="T T T"
Ag 0.0000 0.0000 0.0000
As 0.0000 0.0000 2.5014
As 0.0000 2.5014 0.0000
As 2.5014 0.0000 0.0000
O 2.5014 2.5014 2.5014
```

For the uncorrected formation energy, the calculation gives 1.36 eV per atom. The volume comes out at 125 Å³ per cell. The density of states at the Fermi level comes out at 4.39 states/eV/cell. As for the energy above the lowest structure with this stoichiometry: 23.280 kcal/mol of atoms.



# 5
A geometry-optimized Ac2Tb6Y5 structure. Source: Alexandria, functional GGA-PBE.

Structure (extended XYZ):
```
26
Lattice="11.9468 0.0000 0.0000 0.0000 20.4947 0.0000 0.0000 0.0000 3.6684" Properties=species:S:1:pos:R:3 pbc="T T T"
Ac 1.9596 4.5521 0.0000
Ac 4.0138 14.7995 0.0000
Ac 7.9330 5.6953 0.0000
Ac 9.9872 15.9426 0.0000
Tb 0.7268 18.9846 0.0000
Tb 0.8729 13.0908 0.0000
Tb 2.1653 7.8053 1.8342
Tb 3.8081 18.0526 1.8342
Tb 5.1005 2.8434 0.0000
Tb 5.2466 8.7372 0.0000
Tb 6.7002 11.7575 0.0000
Tb 6.8463 17.6513 0.0000
Tb 8.1387 2.4421 1.8342
Tb 9.7815 12.6894 1.8342
Tb 11.0739 7.4040 0.0000
Tb 11.2200 1.5101 0.0000
Y 0.0000 10.2474 1.8342
Y 1.1573 16.0610 1.8342
Y 2.3938 1.1105 1.8342
Y 3.5796 11.3579 1.8342
Y 4.8161 5.8136 1.8342
Y 5.9734 0.0000 1.8342
Y 7.1306 14.6811 1.8342
Y 8.3672 9.1369 1.8342
Y 9.5530 19.3842 1.8342
Y 10.7895 4.4337 1.8342
```

As for the formation energy: 0.12 eV/atom. The volume comes out at 898 Å³ per cell. The density of states at the Fermi level comes out at 36.76 states/eV/cell.



# 6
A geometry-optimized Sb2Au2Br structure. Source: Alexandria, functional GGA-PBE.

Structure (extended XYZ):
```
10
Lattice="8.4882 0.0000 0.0000 0.0000 8.4882 0.0000 0.0000 0.0000 3.3222" Properties=species:S:1:pos:R:3 pbc="T T T"
Sb 1.2181 3.0260 0.0000
Sb 3.0260 7.2701 0.0000
Sb 5.4622 1.2181 0.0000
Sb 7.2701 5.4622 0.0000
Au 1.2931 5.5372 1.6611
Au 2.9510 1.2931 1.6611
Au 5.5372 7.1951 1.6611
Au 7.1951 2.9510 1.6611
Br 0.0000 0.0000 1.6611
Br 4.2441 4.2441 1.6611
```

For the uncorrected formation energy, the calculation gives 0.11 eV per atom. The volume comes out at 239 Å³ per cell. The density of states at the Fermi level comes out at 4.34 states/eV/cell. As for the energy above the lowest structure with this stoichiometry: 2.502 kcal/mol of atoms.



Q: Which value of volume does entry 4 give?
A: 125 Å³ per cell



Q: Which of these has the lowest volume?
A: SmErTmHg